(1)
Compound: ZrSc2B
Source: OQMD via LeMat-Bulk
Functional: GGA-PBE
Structure: optimized geometry

## Properties
As for the magnetic moment: 0.21 μB per cell. Its total energy is -6.497 eV/atom. As for the symmetry: F-43m (216).

```
ZrSc2B
1.0
0.000 3.270 3.270
3.270 0.000 3.270
3.270 3.270 0.000
Sc Zr B
2 1 1
direct
0.750 0.750 0.750
0.000 0.000 0.000
0.250 0.250 0.250
0.500 0.500 0.500
```

***

(2)
Compound: CoCu5Si2
Source: OQMD via LeMat-Bulk
Functional: GGA-PBE
Structure: optimized geometry

## Properties
As for the magnetic moment: 0.01 μB per cell. Its total energy is -4.532 eV/atom. As for the symmetry: P4/mmm (123).

```
CoCu5Si2
1.0
-0.626 -3.705 -1.217
2.270 -1.348 2.938
-4.763 -0.352 3.519
Co Cu Si
1 5 2
direct
0.500 0.500 0.000
0.000 0.500 0.252
0.000 0.500 0.748
0.500 0.000 0.252
0.500 0.000 0.748
0.000 0.000 0.500
0.000 0.000 0.000
0.500 0.500 0.500
```

***

(3)
Compound: Li2ReAu
Source: OQMD via LeMat-Bulk
Functional: GGA-PBE
Structure: optimized geometry

## Properties
As for the magnetic moment: 2.11 μB per cell. Its total energy is -4.437 eV/atom. As for the symmetry: F-43m (216).

```
Li2ReAu
1.0
0.000 3.099 3.099
3.099 0.000 3.099
3.099 3.099 0.000
Li Au Re
2 1 1
direct
0.750 0.750 0.750
0.000 0.000 0.000
0.250 0.250 0.250
0.500 0.500 0.500
```

***

(4)
Compound: ZrSiB
Source: OQMD via LeMat-Bulk
Functional: GGA-PBE
Structure: optimized geometry

## Properties
As for the magnetic moment: 0.02 μB per cell. Its total energy is -6.147 eV/atom. As for the symmetry: F-43m (216). The energy relative to the lowest polymorph listed for this composition is 0.6248 eV per atom.

```
ZrSiB
1.0
0.000 2.878 2.878
2.878 0.000 2.878
2.878 2.878 0.000
Si Zr B
1 1 1
direct
0.000 0.000 0.000
0.750 0.750 0.750
0.250 0.250 0.250
```

***

(5)
Compound: Sc2ZnTc
Source: OQMD via LeMat-Bulk
Functional: GGA-PBE
Structure: optimized geometry

## Properties
As for the magnetic moment: 0.00 μB per cell. The calculation puts the formation enthalpy at 0 K at 0.2482 eV per atom. Its total energy is -5.822 eV/atom. As for the symmetry: P6_3/mmc (194).

```
Sc2ZnTc
1.0
3.599 3.000 1.022
-4.273 1.740 -1.307
-2.193 0.130 7.343
Sc Zn Tc
4 2 2
direct
0.667 0.333 0.082
0.667 0.333 0.418
0.333 0.667 0.918
0.333 0.667 0.582
0.000 0.000 0.000
0.000 0.000 0.500
0.667 0.333 0.750
0.333 0.667 0.250
```

***

(6)
Compound: CsAu
Source: OQMD via LeMat-Bulk
Functional: GGA-PBE
Structure: optimized geometry

## Properties
Its total energy is -2.369 eV/atom. As for the symmetry: Cmcm (63). The energy relative to the lowest polymorph listed for this composition is 0.0123 eV per atom.

```
CsAu
1.0
2.525 -7.642 0.000
2.525 7.642 0.000
0.000 0.000 8.138
Cs Au
4 4
direct
0.550 0.450 0.250
0.730 0.270 0.750
0.450 0.550 0.750
0.270 0.730 0.250
0.092 0.908 0.565
0.092 0.908 0.935
0.908 0.092 0.065
0.908 0.092 0.435
```

***

(7)
Compound: DyScCuS3
Source: OQMD via LeMat-Bulk
Functional: GGA-PBE
Structure: optimized geometry

## Properties
As for the magnetic moment: 0.02 μB per cell. Its total energy is -6.002 eV/atom. As for the symmetry: Cmcm (63).

```
DyScCuS3
1.0
1.845 -6.187 0.000
1.845 6.187 0.000
0.000 0.000 9.634
Sc S Dy Cu
2 6 2 2
direct
0.500 0.500 0.000
0.500 0.500 0.500
0.859 0.141 0.931
0.859 0.141 0.569
0.596 0.404 0.750
0.404 0.596 0.250
0.141 0.859 0.069
0.141 0.859 0.431
0.269 0.731 0.750
0.731 0.269 0.250
0.019 0.981 0.250
0.981 0.019 0.750
```

***

(8)
Compound: NbCoSbPd
Source: OQMD via LeMat-Bulk
Functional: GGA-PBE
Structure: optimized geometry

## Properties
As for the magnetic moment: 0.61 μB per cell. Its total energy is -6.628 eV/atom. As for the symmetry: F-43m (216). The energy relative to the lowest polymorph listed for this composition is 0.0136 eV per atom.

```
NbCoSbPd
1.0
0.000 3.192 3.192
3.192 0.000 3.192
3.192 3.192 0.000
Sb Nb Pd Co
1 1 1 1
direct
0.000 0.000 0.000
0.250 0.250 0.250
0.500 0.500 0.500
0.750 0.750 0.750
```

***

(9)
Compound: ZnCl2
Source: OQMD via LeMat-Bulk
Functional: GGA-PBE
Structure: optimized geometry

## Properties
Its total energy is -2.213 eV/atom. As for the symmetry: Cmmm (65).

```
ZnCl2
1.0
5.484 3.929 -1.698
-6.674 -0.983 1.700
0.740 0.297 3.076
Cl Zn
2 1
direct
0.389 0.611 0.500
0.611 0.389 0.500
0.000 0.000 0.000
```

***

(10)
Compound: Li2NbIr
Source: OQMD via LeMat-Bulk
Functional: GGA-PBE
Structure: optimized geometry

## Properties
As for the magnetic moment: 0.00 μB per cell. Its total energy is -5.840 eV/atom. As for the symmetry: F-43m (216).

```
Li2NbIr
1.0
-3.071 -2.359 -1.946
-4.062 1.494 -0.226
-1.629 1.280 -3.807
Li Nb Ir
2 1 1
direct
0.000 0.000 0.000
0.750 0.750 0.750
0.500 0.500 0.500
0.250 0.250 0.250
```

***

(11)
Compound: LuRePO
Source: OQMD via LeMat-Bulk
Functional: GGA-PBE
Structure: optimized geometry

## Properties
As for the magnetic moment: 0.00 μB per cell. Its total energy is -6.914 eV/atom. As for the symmetry: P4/nmm (129). The energy relative to the lowest polymorph listed for this composition is 1.6934 eV per atom.

```
LuRePO
1.0
-1.079 -0.613 4.110
-0.515 -4.194 -0.760
6.092 -1.010 1.449
P Lu Re O
2 2 2 2
direct
0.000 0.000 0.765
0.500 0.500 0.235
0.500 0.000 0.500
0.000 0.500 0.500
0.500 0.500 0.865
0.000 0.000 0.135
0.500 0.000 0.000
0.000 0.500 0.000
```

***

(12)
Compound: RePbO3
Source: OQMD via LeMat-Bulk
Functional: GGA-PBE
Structure: optimized geometry

## Properties
As for the magnetic moment: 6.00 μB per cell. Its total energy is -7.256 eV/atom. As for the symmetry: R-3 (148).

```
RePbO3
1.0
-2.777 4.810 0.000
2.777 4.810 0.000
0.000 3.207 -5.504
O Pb Re
6 2 2
direct
0.060 0.439 0.693
0.192 0.940 0.307
0.439 0.808 0.693
0.808 0.060 0.693
0.940 0.561 0.307
0.561 0.192 0.307
0.628 0.628 0.116
0.372 0.372 0.884
0.164 0.164 0.508
0.836 0.836 0.492
```

***

Please write out number 1 again, unchanged.
Compound: ZrSc2B
Source: OQMD via LeMat-Bulk
Functional: GGA-PBE
Structure: optimized geometry

## Properties
As for the magnetic moment: 0.21 μB per cell. Its total energy is -6.497 eV/atom. As for the symmetry: F-43m (216).

```
ZrSc2B
1.0
0.000 3.270 3.270
3.270 0.000 3.270
3.270 3.270 0.000
Sc Zr B
2 1 1
direct
0.750 0.750 0.750
0.000 0.000 0.000
0.250 0.250 0.250
0.500 0.500 0.500
```